Entry from Alexandria: Th4CdIn3 after structural relaxation (PBE-GGA).

Cell: 4.6567 4.9326 9.8734 Å, 90.00 90.00 90.00°
Sites, in units of the cell vectors:
1 In 0.5000 0.0000 0.2481
2 In 0.5000 0.5000 0.5000
3 In 0.5000 0.0000 0.7519
4 Th 0.0000 0.0000 0.5000
5 Th 0.0000 0.5000 0.7503
6 Th 0.0000 0.0000 0.0000
7 Th 0.0000 0.5000 0.2497
8 Cd 0.5000 0.5000 0.0000

Results
Crystal system: orthorhombic
V in A^3/atom: 28.35
N(E_F) in states/eV/atom: 1.04
Total DFT energy (no corrections) in eV per atom: -5.091